Record 1
Tb2WO6, relaxed, DFT GGA+U; crystal system = monoclinic; N(E_F) = 0.000 states/eV per cell; electronic total energy = -0.597 Ry/atom
1.0
5.422 0.000 0.000
0.000 7.741 -0.004
0.000 2.875 11.161
O Tb W
24 8 4
Cartesian
4.596 5.563 10.632 O
1.958 6.349 9.884 O
4.596 6.491 6.105 O
2.546 1.377 0.778 O
5.183 0.775 1.166 O
2.938 6.765 2.543 O
3.464 4.912 4.304 O
2.876 9.239 10.379 O
3.464 4.267 1.273 O
2.938 2.414 3.034 O
0.239 9.840 9.991 O
0.239 2.213 6.747 O
2.876 2.815 6.359 O
2.484 8.202 8.123 O
1.958 5.704 6.854 O
5.324 7.715 8.614 O
5.324 4.339 8.124 O
5.183 8.403 4.410 O
0.098 2.901 2.543 O
0.826 4.125 5.052 O
2.484 3.851 8.614 O
2.546 7.801 4.798 O
0.826 5.053 0.525 O
0.098 6.277 3.033 O
1.004 4.245 10.296 Tb
1.718 4.589 2.788 Tb
4.418 6.371 0.861 Tb
4.418 2.807 4.716 Tb
1.413 0.719 2.790 Tb
1.004 7.809 6.442 Tb
4.009 2.156 8.371 Tb
3.704 6.027 8.369 Tb
4.040 2.471 1.283 W
1.382 8.145 9.874 W
4.040 6.708 4.293 W
1.382 3.908 6.864 W

=====

Record 2
TbWO5, relaxed, DFT GGA+U; crystal system = orthorhombic; N(E_F) = 2.117 states/eV per cell; electronic total energy = -0.554 Ry/atom
1.0
-0.427 -1.721 3.437
3.521 -4.400 0.411
4.230 1.479 3.442
Tb O W
1 5 1
Cartesian
0.000 0.000 0.000 Tb
1.778 -2.044 3.549 O
3.453 -4.047 2.755 O
3.870 -0.595 4.535 O
5.545 -2.597 3.741 O
3.875 -1.460 1.926 O
3.662 -2.321 3.645 W

=====

Record 3
Tb2WO6, relaxed, DFT GGA+U; crystal system = monoclinic; N(E_F) = 0.000 states/eV per cell; electronic total energy = -0.592 Ry/atom
1.0
-0.322 -5.133 -1.584
0.335 -1.670 5.344
-8.190 0.046 1.513
O Tb W
12 4 2
Cartesian
-4.307 -1.670 1.744 O
-0.919 -3.677 -0.951 O
-4.117 -2.474 4.423 O
-7.441 -2.296 3.494 O
-1.470 -2.920 3.520 O
-6.476 -4.590 4.438 O
-1.632 -1.067 1.175 O
-3.868 -5.071 3.535 O
-7.234 -2.710 6.339 O
-6.765 -4.775 1.465 O
-0.767 -4.959 1.626 O
-4.055 -4.204 0.875 O
-2.815 -0.969 3.272 Tb
-5.185 -6.580 4.680 Tb
-5.216 -3.468 2.718 Tb
-3.132 -2.414 -0.096 Tb
-7.994 -0.654 2.760 W
-0.057 -4.089 3.135 W

=====

Record 4
Tb6WO12, relaxed, DFT GGA+U; crystal system = trigonal; N(E_F) = 0.000 states/eV per cell; electronic total energy = -0.609 Ry/atom
1.0
-1.325 6.383 0.243
-5.739 -2.108 -2.274
-0.862 -1.422 6.308
O Tb W
12 6 1
Cartesian
-5.897 -1.968 -0.313 O
-1.662 0.352 5.988 O
-3.230 -0.621 2.785 O
-4.885 -2.578 4.233 O
-2.174 2.781 2.472 O
-4.696 3.474 1.492 O
-6.265 2.501 -1.711 O
-4.118 1.267 -0.119 O
-3.808 1.586 4.396 O
-2.029 4.821 4.590 O
-5.752 0.072 1.805 O
-3.041 5.431 0.044 O
-5.182 -0.178 3.936 Tb
-3.956 3.669 3.642 Tb
-2.744 3.031 0.341 Tb
-1.772 0.840 3.604 Tb
-3.970 -0.816 0.635 Tb
-6.154 2.013 0.674 Tb
0.000 0.000 0.000 W

=====

Record 5
Tb2WO6, relaxed, DFT GGA+U; crystal system = monoclinic; N(E_F) = 0.000 states/eV per cell; electronic total energy = -0.595 Ry/atom
1.0
9.739 -0.124 -0.108
3.461 9.104 -0.108
1.237 0.842 5.239
O Tb W
24 8 4
Cartesian
10.150 6.310 0.595 O
6.400 3.755 2.367 O
6.812 1.709 0.398 O
9.728 3.692 2.006 O
7.977 4.827 0.036 O
6.462 4.995 4.986 O
8.038 6.068 2.656 O
2.236 4.440 1.104 O
12.016 8.356 0.225 O
12.202 5.382 3.919 O
4.288 3.512 4.428 O
1.635 1.293 2.178 O
2.422 1.466 4.798 O
7.626 8.113 4.625 O
4.223 2.278 1.809 O
8.868 8.952 1.299 O
3.881 6.252 0.312 O
10.215 7.544 3.214 O
5.570 0.870 3.724 O
4.710 6.130 3.017 O
10.557 3.570 4.711 O
7.860 1.735 2.931 O
6.579 8.087 2.092 O
12.804 8.529 2.845 O
8.294 3.997 3.821 Tb
12.091 6.719 1.850 Tb
5.070 8.735 3.821 Tb
6.144 5.825 1.202 Tb
3.130 0.623 0.554 Tb
9.368 1.087 1.202 Tb
11.308 9.199 4.469 Tb
2.347 3.103 3.173 Tb
6.042 1.933 2.103 W
4.635 5.330 4.723 W
8.397 7.889 2.920 W
9.803 4.492 0.300 W

=====

Record 6
Tb4W6O19, relaxed, DFT GGA+U; crystal system = cubic; N(E_F) = 1.496 states/eV per cell; electronic total energy = -0.572 Ry/atom
1.0
-4.843 1.707 -6.007
7.147 -1.849 -2.822
-2.897 -6.131 4.059
O W Tb
19 6 4
Cartesian
1.573 -0.097 -6.029 O
-1.266 -1.645 -3.446 O
3.258 -1.037 -3.455 O
-1.268 -3.760 -0.665 O
0.867 -2.526 -4.844 O
2.902 -5.450 0.845 O
-0.096 -4.581 1.623 O
-0.853 -1.025 -6.496 O
0.731 -0.045 -2.800 O
-4.044 -5.224 -0.576 O
1.028 -5.296 -1.220 O
0.000 0.000 0.000 O
-2.991 -3.759 -2.741 O
-3.762 -0.726 -2.991 O
1.348 -2.531 0.392 O
-2.455 -1.403 -0.618 O
1.750 -2.884 -2.192 O
3.816 -5.178 -1.616 O
-5.286 -3.021 -1.330 O
-3.268 -3.343 -0.799 W
-3.045 -2.263 -4.137 W
0.055 -0.698 -4.691 W
2.451 -4.010 -0.633 W
2.674 -2.930 -3.971 W
-0.648 -5.575 -0.079 W
-2.062 -4.364 2.889 Tb
5.087 -1.316 -2.009 Tb
-3.448 1.215 -4.276 Tb
-0.171 -1.808 -1.375 Tb